A relaxed LaSc2Zn crystal, computed with PBE.

Cell lengths 5.1505, 5.1505, 3.5658 Å; angles 90.00, 90.00, 90.04 degrees
With the nearest neighbours (Å) after each atom.
Sites, in units of the cell vectors:
Sc: 0.0000 0.0000 0.0000  4 La 3.13, 4 Zn 3.13
Sc: 0.5000 0.5000 0.0000  4 Zn 3.13, 4 La 3.13
La: 0.0000 0.5000 0.5000  8 Sc 3.13
Zn: 0.5000 0.0000 0.5000  8 Sc 3.13

Output
DFT formation energy (eV/f.u.): 0.27
Mass density (g/cm³): 5.17
V (Å³ per atom): 23.65